# 1
# Sm2MgSe PBE relaxed
data_Sm2MgSe
_chemical_formula_sum 'Sm6 Mg3 Se3'
_cell_length_a 3.9654
_cell_length_b 3.9654
_cell_length_c 26.1068
_cell_angle_alpha 90.00
_cell_angle_beta 90.00
_cell_angle_gamma 120.00
_space_group_name_H-M_alt 'R 3 m'
_space_group_IT_number 160
_space_group_name_Hall 'R 3 -2"'
loop_
_atom_site_label
_atom_site_type_symbol
_atom_site_fract_x
_atom_site_fract_y
_atom_site_fract_z
_atom_site_occupancy
Sm1 Sm 0.0000 0.0000 0.0000 1
Sm2 Sm 0.0000 0.0000 0.1976 1
Mg1 Mg 0.0000 0.0000 0.4319 1
Se1 Se 0.0000 0.0000 0.5995 1
# - excess energy over the best structure of this formula in the dataset (meV/atom) = 0



# 2
# SmMgSe2 PBE relaxed
data_SmMgSe2
_chemical_formula_sum 'Sm3 Mg3 Se6'
_cell_length_a 3.9439
_cell_length_b 3.9439
_cell_length_c 20.8595
_cell_angle_alpha 90.00
_cell_angle_beta 90.00
_cell_angle_gamma 120.00
_space_group_name_H-M_alt 'R -3 m'
_space_group_IT_number 166
_space_group_name_Hall '-R 3 2"'
loop_
_atom_site_label
_atom_site_type_symbol
_atom_site_fract_x
_atom_site_fract_y
_atom_site_fract_z
_atom_site_occupancy
Sm1 Sm 0.0000 0.0000 0.0000 1
Mg1 Mg 0.0000 0.0000 0.5000 1
Se1 Se 0.0000 0.0000 0.2412 1
# - excess energy over the best structure of this formula in the dataset (meV/atom) = 15



# 3
# Sm4MgSe5 PBE relaxed
data_Sm4MgSe5
_chemical_formula_sum 'Sm8 Mg2 Se10'
_cell_length_a 9.233
_cell_length_b 9.233
_cell_length_c 5.855
_cell_angle_alpha 90.00
_cell_angle_beta 90.00
_cell_angle_gamma 90.00
_space_group_name_H-M_alt 'I 4'
_space_group_IT_number 79
_space_group_name_Hall 'I 4'
loop_
_atom_site_label
_atom_site_type_symbol
_atom_site_fract_x
_atom_site_fract_y
_atom_site_fract_z
_atom_site_occupancy
Sm1 Sm 0.094 0.307 0.000 1
Mg1 Mg 0.000 0.000 0.498 1
Se1 Se 0.000 0.000 0.000 1
Se2 Se 0.097 0.280 0.500 1
# - excess energy over the best structure of this formula in the dataset (meV/atom) = 16



# 4
# Tb3Sm3MgSe8 PBE relaxed
data_Tb3Sm3MgSe8
_chemical_formula_sum 'Tb9 Sm9 Mg3 Se24'
_cell_length_a 8.2070
_cell_length_b 8.2070
_cell_length_c 20.2526
_cell_angle_alpha 90.00
_cell_angle_beta 90.00
_cell_angle_gamma 120.00
_space_group_name_H-M_alt 'R -3 m'
_space_group_IT_number 166
_space_group_name_Hall '-R 3 2"'
loop_
_atom_site_label
_atom_site_type_symbol
_atom_site_fract_x
_atom_site_fract_y
_atom_site_fract_z
_atom_site_occupancy
Tb1 Tb 0.0000 0.5000 0.0000 1
Sm1 Sm 0.0000 0.5000 0.5000 1
Mg1 Mg 0.0000 0.0000 0.0000 1
Se1 Se 0.0000 0.0000 0.2523 1
Se2 Se 0.0084 0.5042 0.7458 1
# - calculated total energy (eV per cell) = -252.48



# 5
# Sm2MgTl3Se6 PBE relaxed
data_Sm2MgTl3Se6
_chemical_formula_sum 'Sm4 Mg2 Tl6 Se12'
_cell_length_a 7.299
_cell_length_b 12.650
_cell_length_c 7.883
_cell_angle_alpha 90.00
_cell_angle_beta 108.06
_cell_angle_gamma 90.00
_space_group_name_H-M_alt 'C 1 2/m 1'
_space_group_IT_number 12
_space_group_name_Hall '-C 2y'
loop_
_atom_site_label
_atom_site_type_symbol
_atom_site_fract_x
_atom_site_fract_y
_atom_site_fract_z
_atom_site_occupancy
Sm1 Sm 0.000 0.166 0.000 1
Mg1 Mg 0.000 0.500 0.000 1
Tl1 Tl 0.000 0.000 0.500 1
Tl2 Tl 0.000 0.331 0.500 1
Se1 Se 0.230 0.339 0.208 1
Se2 Se 0.248 0.000 0.211 1
# - calculated total energy (eV per cell) = -105.16



# 6
# Sm3Y3MgSe8 PBE relaxed
data_Sm3Y3MgSe8
_chemical_formula_sum 'Sm9 Y9 Mg3 Se24'
_cell_length_a 8.1935
_cell_length_b 8.1935
_cell_length_c 20.2336
_cell_angle_alpha 90.00
_cell_angle_beta 90.00
_cell_angle_gamma 120.00
_space_group_name_H-M_alt 'R -3 m'
_space_group_IT_number 166
_space_group_name_Hall '-R 3 2"'
loop_
_atom_site_label
_atom_site_type_symbol
_atom_site_fract_x
_atom_site_fract_y
_atom_site_fract_z
_atom_site_occupancy
Sm1 Sm 0.0000 0.5000 0.0000 1
Y1 Y 0.0000 0.5000 0.5000 1
Mg1 Mg 0.0000 0.0000 0.5000 1
Se1 Se 0.0000 0.0000 0.2475 1
Se2 Se 0.0078 0.5039 0.2456 1
# - calculated total energy (eV per cell) = -268.99



# 7
# MgSn2Se2 PBE relaxed
data_MgSn2Se2
_chemical_formula_sum 'Mg2 Sn4 Se4'
_cell_length_a 7.241
_cell_length_b 7.241
_cell_length_c 4.903
_cell_angle_alpha 90.00
_cell_angle_beta 90.00
_cell_angle_gamma 90.00
_space_group_name_H-M_alt 'P 4/m b m'
_space_group_IT_number 127
_space_group_name_Hall '-P 4 2ab'
loop_
_atom_site_label
_atom_site_type_symbol
_atom_site_fract_x
_atom_site_fract_y
_atom_site_fract_z
_atom_site_occupancy
Mg1 Mg 0.000 0.000 0.000 1
Sn1 Sn 0.165 0.335 0.500 1
Se1 Se 0.182 0.682 0.000 1
# - calculated total energy (eV per cell) = -36.56



# 8
# Mg2SnSe PBE relaxed
data_Mg2SnSe
_chemical_formula_sum 'Mg6 Sn3 Se3'
_cell_length_a 3.7310
_cell_length_b 3.7310
_cell_length_c 23.4474
_cell_angle_alpha 90.00
_cell_angle_beta 90.00
_cell_angle_gamma 120.00
_space_group_name_H-M_alt 'R 3 m'
_space_group_IT_number 160
_space_group_name_Hall 'R 3 -2"'
loop_
_atom_site_label
_atom_site_type_symbol
_atom_site_fract_x
_atom_site_fract_y
_atom_site_fract_z
_atom_site_occupancy
Mg1 Mg 0.0000 0.0000 0.0000 1
Mg2 Mg 0.0000 0.0000 0.1927 1
Sn1 Sn 0.0000 0.0000 0.4292 1
Se1 Se 0.0000 0.0000 0.5972 1
# - excess energy over the best structure of this formula in the dataset (meV/atom) = 0